No. 1
{
  "formula": "La2Cu",
  "functional": "PBE-GGA",
  "state": "optimized geometry",
  "lattice": [[1.8473, -8.4808, 0.0000], [1.8473, 8.4808, 0.0000], [0.0000, 0.0000, 5.4593]],
  "species": ["La", "La", "La", "La", "Cu", "Cu"],
  "frac_coords": [[0.0732, 0.9268, 0.7500], [0.2182, 0.7818, 0.2500], [0.7818, 0.2182, 0.7500], [0.9268, 0.0732, 0.2500], [0.4257, 0.5743, 0.7500], [0.5743, 0.4257, 0.2500]],
  "formation_energy_ev_per_atom": -0.055,
  "sg": "Cmcm (63)",
  "crystal_system": "orthorhombic",
  "energy_ev_per_atom": -4.705
}


No. 2
{
  "formula": "CaDyGaSn",
  "functional": "PBE-GGA",
  "state": "optimized geometry",
  "lattice": [[0.0000, 3.7210, 3.7210], [3.7210, 0.0000, 3.7210], [3.7210, 3.7210, 0.0000]],
  "species": ["Ca", "Dy", "Ga", "Sn"],
  "frac_coords": [[0.0000, 0.0000, 0.0000], [0.5000, 0.5000, 0.5000], [0.2500, 0.2500, 0.2500], [0.7500, 0.7500, 0.7500]],
  "formation_energy_ev_per_atom": -0.516,
  "sg": "F-43m (216)",
  "crystal_system": "cubic",
  "energy_ev_per_atom": -3.924
}